w.
# BeB3Mo, optimized geometry, DFT PBE
data_BeB3Mo
_chemical_formula_sum 'Be1 B3 Mo1'
_cell_length_a 4.0995
_cell_length_b 4.0995
_cell_length_c 4.0995
_cell_angle_alpha 90.00
_cell_angle_beta 90.00
_cell_angle_gamma 90.00
_symmetry_space_group_name_H-M 'P m -3 m'
_symmetry_Int_Tables_number 221
_symmetry_space_group_name_Hall '-P 4 2 3'
loop_
_atom_site_label
_atom_site_fract_x
_atom_site_fract_y
_atom_site_fract_z
Be1 0.0000 0.0000 0.0000
B1 0.0000 0.5000 0.5000
Mo1 0.5000 0.5000 0.5000
# M_tot   0.000 μB per atom



x.
# BeB3Mo, optimized geometry, DFT PBE
data_BeB3Mo
_chemical_formula_sum 'Be4 B12 Mo4'
_cell_length_a 3.1417
_cell_length_b 9.3389
_cell_length_c 6.1940
_cell_angle_alpha 90.00
_cell_angle_beta 90.00
_cell_angle_gamma 90.00
_symmetry_space_group_name_H-M 'C m c m'
_symmetry_Int_Tables_number 63
_symmetry_space_group_name_Hall '-C 2c 2'
loop_
_atom_site_label
_atom_site_fract_x
_atom_site_fract_y
_atom_site_fract_z
Be1 0.0000 0.2168 0.2500
B1 0.0000 0.0928 0.5077
B2 0.0000 0.1760 0.7500
Mo1 0.0000 0.4882 0.7500
# M_tot   0.000 μB per atom



Least stable: w